Record 1
A plane-wave DFT calculation with PBEsol was carried out for a geometry-optimized Zr2ScCu structure.

Computed properties:
Total moment   0.00 μB/f.u.
E_tot   -7.300 eV/atom
E_form   -0.020 eV per atom

Unit cell a=3.2446 b=4.8505 c=9.9264 alpha=90.00 beta=90.00 gamma=90.00
Space group Imm2 (No. 44)
Unique sites:
Zr1 0.0000 0.0000 0.0000 x2
Zr2 0.0000 0.5000 0.2214 x2
Sc1 0.0000 0.0000 0.4374 x2
Cu1 0.0000 0.5000 0.7221 x2



Record 2
A plane-wave DFT calculation with PBEsol was carried out for a geometry-optimized CrTe2 structure.

Computed properties:
Total moment   3.06 μB/f.u.
E_tot   -5.698 eV/atom

Unit cell a=10.0439 b=3.6879 c=8.1067 alpha=90.00 beta=96.73 gamma=90.00
Space group Cm (No. 8)
Unique sites:
Cr1 0.0000 0.0000 0.0000 x2
Cr2 0.2183 0.0000 0.6621 x2
Te1 0.0163 0.5000 0.7391 x2
Te2 0.0280 0.5000 0.2435 x2
Te3 0.2730 0.0000 0.9933 x2
Te4 0.2815 0.5000 0.4488 x2



Record 3
A plane-wave DFT calculation with PBEsol was carried out for a geometry-optimized Fe2NiB2 structure.

Computed properties:
Total moment   2.93 μB/f.u.
E_tot   -7.969 eV/atom
E_form   -0.345 eV per atom

Unit cell a=5.2929 b=5.2929 c=2.9304 alpha=90.00 beta=90.00 gamma=90.00
Space group P4/mbm (No. 127)
Unique sites:
Fe1 0.1696 0.3304 0.0000 x4
Ni1 0.0000 0.0000 0.5000 x2
B1 0.1208 0.6208 0.5000 x4